P.
ZnAg2 | Alexandria via LeMat-Bulk | PBEsol | optimized geometry; space-group type = No. 12; DOS(E_F) = 1.6 states/eV per cell; mass density = 9.99 g cm⁻³
1.0
4.8725 -1.4357 0.0000
4.8725 1.4357 0.0000
-2.6522 0.0000 6.6805
Zn Ag
2 4
Cartesian
1.5817 0.0000 0.7012
5.5111 0.0000 5.9793
-0.0033 0.0000 3.8265
4.2936 0.0000 1.3995
2.7991 0.0000 5.2809
7.0961 0.0000 2.8539

Q.
ZnAg2 | Alexandria via LeMat-Bulk | PBEsol | optimized geometry; space-group type = No. 189; DOS(E_F) = 1.9 states/eV per cell; mass density = 9.97 g cm⁻³
1.0
7.3947 0.0000 0.0000
-3.6973 6.4040 0.0000
0.0000 0.0000 2.9666
Zn Ag
3 6
Cartesian
0.0000 0.0000 0.0000
0.0000 4.2693 1.4833
3.6973 2.1346 1.4833
-1.3704 2.3737 0.0000
-2.6057 4.5132 1.4833
1.0916 1.8908 1.4833
2.7409 0.0000 0.0000
2.3269 4.0303 0.0000
5.2114 0.0000 1.4833

Most stable: Q

P.
ZnAg2 | Alexandria via LeMat-Bulk | PBEsol | optimized geometry; space-group type = No. 71; DOS(E_F) = 0.9 states/eV per cell; mass density = 9.97 g cm⁻³
1.0
-1.4465 1.8244 4.4339
1.4465 -1.8244 4.4339
1.4465 1.8244 -4.4339
Zn Ag
1 2
Cartesian
0.0000 0.0000 0.0000
0.0000 0.0000 3.0199
0.0000 0.0000 5.8480

Q.
ZnAg2 | Alexandria via LeMat-Bulk | PBEsol | optimized geometry; space-group type = No. 62; DOS(E_F) = 3.6 states/eV per cell; mass density = 10.00 g cm⁻³
1.0
5.4538 0.0000 0.0000
0.0000 4.2625 0.0000
0.0000 0.0000 8.0363
Zn Ag
4 8
Cartesian
0.9697 1.0656 0.8283
1.7571 3.1969 4.8465
3.6966 1.0656 3.1898
4.4840 3.1969 7.2080
0.3080 1.0656 6.2432
0.9154 1.0656 3.4869
1.8115 3.1969 7.5051
2.4189 3.1969 2.2250
3.0349 1.0656 5.8113
3.6423 1.0656 0.5312
4.5384 3.1969 4.5494
5.1458 3.1969 1.7932

Most stable: Q

P.
ZnAg2 | Alexandria via LeMat-Bulk | PBEsol | optimized geometry; space-group type = No. 227; DOS(E_F) = 7.1 states/eV per cell; mass density = 9.73 g cm⁻³
1.0
0.0000 5.7677 5.7677
5.7677 0.0000 5.7677
5.7677 5.7677 0.0000
Zn Ag
8 16
Cartesian
9.0415 5.3777 5.3777
2.4938 2.4938 2.4938
6.1577 6.1577 2.4938
6.1577 2.4938 6.1577
5.3777 9.0415 5.3777
5.3777 5.3777 9.0415
9.0415 9.0415 9.0415
2.4938 6.1577 6.1577
0.0000 0.0000 0.0000
2.8838 2.8838 0.0000
2.8838 0.0000 2.8838
4.3258 4.3258 2.1950
4.3258 2.1950 4.3258
6.4565 4.3258 4.3258
7.2096 7.2096 5.0789
7.2096 5.0789 7.2096
9.3404 7.2096 7.2096
0.0000 2.8838 2.8838
2.1950 4.3258 4.3258
4.3258 6.4565 4.3258
4.3258 4.3258 6.4565
5.0789 7.2096 7.2096
7.2096 9.3404 7.2096
7.2096 7.2096 9.3404

Q.
ZnAg2 | Alexandria via LeMat-Bulk | PBEsol | optimized geometry; space-group type = No. 164; DOS(E_F) = 0.8 states/eV per cell; mass density = 9.91 g cm⁻³
1.0
4.3770 0.0000 0.0000
-2.1885 3.7906 0.0000
0.0000 0.0000 2.8398
Zn Ag
1 2
Cartesian
0.0000 0.0000 0.0000
0.0000 2.5270 2.0508
2.1885 1.2635 0.7890

Most stable: Q